The following is a PBE calculation of a relaxed Li2In2Hg3Bi2 crystal, from the Alexandria database.

CIF file:
```
data_Li2In2Hg3Bi2
_cell_length_a 5.416
_cell_length_b 5.416
_cell_length_c 16.633
_cell_angle_alpha 90.00
_cell_angle_beta 90.00
_cell_angle_gamma 90.00
_symmetry_space_group_name_H-M 'I 4/m m m'
_symmetry_Int_Tables_number 139
_symmetry_space_group_name_Hall '-I 4 2'
loop_
_atom_site_label
_atom_site_type_symbol
_atom_site_fract_x
_atom_site_fract_y
_atom_site_fract_z
Li1 Li 0.000 0.500 0.000
In1 In 0.000 0.000 0.172
Hg1 Hg 0.000 0.000 0.000
Hg2 Hg 0.000 0.500 0.250
Bi1 Bi 0.000 0.000 0.404
```

Computed properties:
The calculation puts the uncorrected energy at -36.977 eV per cell. As for the crystal system: tetragonal. Its energy of formation is -0.057 eV per atom.

The following is a PBE calculation of a relaxed LiInHgBi crystal, from the Alexandria database.

CIF file:
```
data_LiInHgBi
_cell_length_a 7.462
_cell_length_b 7.462
_cell_length_c 7.462
_cell_angle_alpha 90.00
_cell_angle_beta 90.00
_cell_angle_gamma 90.00
_symmetry_space_group_name_H-M 'F -4 3 m'
_symmetry_Int_Tables_number 216
_symmetry_space_group_name_Hall 'F -4 2 3'
loop_
_atom_site_label
_atom_site_type_symbol
_atom_site_fract_x
_atom_site_fract_y
_atom_site_fract_z
Li1 Li 0.000 0.000 0.000
In1 In 0.000 0.000 0.500
Hg1 Hg 0.250 0.250 0.750
Bi1 Bi 0.250 0.250 0.250
```

Computed properties:
The calculation puts the uncorrected energy at -37.468 eV per cell. As for the crystal system: cubic. Its energy of formation is -0.133 eV per atom. For the energy above the most stable polymorph in this dataset, the calculation gives 38.1 meV per atom.

The following is a PBE calculation of a relaxed Li2InHg2Bi crystal, from the Alexandria database.

CIF file:
```
data_Li2InHg2Bi
_cell_length_a 4.9151
_cell_length_b 4.9151
_cell_length_c 6.6256
_cell_angle_alpha 90.00
_cell_angle_beta 90.00
_cell_angle_gamma 120.00
_symmetry_space_group_name_H-M 'P -3 m 1'
_symmetry_Int_Tables_number 164
_symmetry_space_group_name_Hall '-P 3 2"'
loop_
_atom_site_label
_atom_site_type_symbol
_atom_site_fract_x
_atom_site_fract_y
_atom_site_fract_z
Li1 Li 0.3333 0.6667 0.1902
In1 In 0.0000 0.0000 0.5000
Hg1 Hg 0.3333 0.6667 0.6995
Bi1 Bi 0.0000 0.0000 0.0000
```

Computed properties:
The calculation puts the uncorrected energy at -12.490 eV per cell. As for the crystal system: trigonal. Its energy of formation is -0.240 eV per atom.

The following is a PBE calculation of a relaxed Li2In2Hg2Bi crystal, from the Alexandria database.

CIF file:
```
data_Li2In2Hg2Bi
_cell_length_a 4.9163
_cell_length_b 4.9163
_cell_length_c 24.0046
_cell_angle_alpha 90.00
_cell_angle_beta 90.00
_cell_angle_gamma 120.00
_symmetry_space_group_name_H-M 'R -3 m'
_symmetry_Int_Tables_number 166
_symmetry_space_group_name_Hall '-R 3 2"'
loop_
_atom_site_label
_atom_site_type_symbol
_atom_site_fract_x
_atom_site_fract_y
_atom_site_fract_z
Li1 Li 0.0000 0.0000 0.2207
In1 In 0.0000 0.0000 0.3611
Hg1 Hg 0.0000 0.0000 0.0854
Bi1 Bi 0.0000 0.0000 0.5000
```

Computed properties:
The calculation puts the uncorrected energy at -45.596 eV per cell. As for the crystal system: trigonal. Its energy of formation is -0.201 eV per atom.

The following is a PBE calculation of a relaxed Li5InHg2Bi2 crystal, from the Alexandria database.

CIF file:
```
data_Li5InHg2Bi2
_cell_length_a 11.304
_cell_length_b 11.304
_cell_length_c 3.478
_cell_angle_alpha 90.00
_cell_angle_beta 90.00
_cell_angle_gamma 90.00
_symmetry_space_group_name_H-M 'P 4/m b m'
_symmetry_Int_Tables_number 127
_symmetry_space_group_name_Hall '-P 4 2ab'
loop_
_atom_site_label
_atom_site_type_symbol
_atom_site_fract_x
_atom_site_fract_y
_atom_site_fract_z
Li1 Li 0.000 0.500 0.000
Li2 Li 0.026 0.209 0.000
In1 In 0.000 0.000 0.500
Hg1 Hg 0.131 0.369 0.500
Bi1 Bi 0.174 0.674 0.500
```

Computed properties:
The calculation puts the uncorrected energy at -46.437 eV per cell. As for the crystal system: tetragonal. Its energy of formation is -0.255 eV per atom.

The following is a PBE calculation of a relaxed LiInHgBi crystal, from the Alexandria database.

CIF file:
```
data_LiInHgBi
_cell_length_a 17.872
_cell_length_b 3.345
_cell_length_c 3.353
_cell_angle_alpha 90.00
_cell_angle_beta 90.06
_cell_angle_gamma 90.00
_symmetry_space_group_name_H-M 'C 1 m 1'
_symmetry_Int_Tables_number 8
loop_
_symmetry_equiv_pos_as_xyz
'x,y,z'
'x,-y,z'
'x+1/2,y+1/2,z'
'x+1/2,-y+1/2,z'
loop_
_atom_site_label
_atom_site_type_symbol
_atom_site_fract_x
_atom_site_fract_y
_atom_site_fract_z
Li1 Li 0.000 0.000 0.000
In1 In 0.278 0.500 0.999
Hg1 Hg 0.405 0.000 0.500
Bi1 Bi 0.116 0.500 0.501
```

Computed properties:
The calculation puts the uncorrected energy at -19.039 eV per cell. As for the crystal system: monoclinic. Its energy of formation is -0.171 eV per atom. For the energy above the most stable polymorph in this dataset, the calculation gives 0.0 meV per atom.

Q: What is the formula in the sixth record?
A: LiInHgBi